Entry 1:
## P2RhCl (SCAN)

Data for a PBEsol-optimized structure of P2RhCl.

Unit cell a=3.054 b=3.054 c=6.777 alpha=90.00 beta=90.00 gamma=90.00
Space group P4/mmm (No. 123)
Symmetry-distinct sites (fractional):
1 P 0.000 0.000 0.191 x2
2 Rh 0.500 0.500 0.000 x1
3 Cl 0.500 0.500 0.500 x1

For the formation energy (no corrections), the calculation gives 101.8 meV per atom. The calculation puts the density of states at the Fermi level at 0.626 states/eV per atom. The value obtained for the offset from the most stable computed form is 341 meV per atom.


Entry 2:
## CrP2RhS (SCAN)

Data for a PBEsol-optimized structure of CrP2RhS.

Unit cell a=4.385 b=4.385 c=4.991 alpha=90.00 beta=90.00 gamma=90.00
Space group P4/mmm (No. 123)
Symmetry-distinct sites (fractional):
1 Cr 0.000 0.000 0.000 x1
2 P 0.000 0.500 0.500 x2
3 Rh 0.500 0.500 0.500 x1
4 S 0.500 0.500 0.000 x1

For the formation energy (no corrections), the calculation gives 541.3 meV per atom. The calculation puts the density of states at the Fermi level at 0.600 states/eV per atom.


Entry 3:
## SrBBr2 (SCAN)

Data for a PBEsol-optimized structure of SrBBr2.

Unit cell a=7.308 b=7.308 c=7.308 alpha=90.00 beta=90.00 gamma=90.00
Space group Fm-3m (No. 225)
Symmetry-distinct sites (fractional):
1 Sr 0.000 0.000 0.000 x4
2 B 0.000 0.000 0.500 x4
3 Br 0.250 0.250 0.250 x8

For the formation energy (no corrections), the calculation gives -261.6 meV per atom. The calculation puts the density of states at the Fermi level at 0.691 states/eV per atom. The value obtained for the offset from the most stable computed form is 0 meV per atom.


Entry 4:
## NaSr3RuO6 (SCAN)

Data for a PBEsol-optimized structure of NaSr3RuO6.

Unit cell a=9.5657 b=9.5657 c=11.4997 alpha=90.00 beta=90.00 gamma=120.00
Space group R-3c (No. 167, hexagonal axes)
Symmetry-distinct sites (fractional):
1 Na 0.0000 0.0000 0.2500 x6
2 Sr 0.0000 0.3586 0.2500 x18
3 Ru 0.0000 0.0000 0.0000 x6
4 O 0.0228 0.1782 0.4006 x36

For the formation energy (no corrections), the calculation gives -2449.8 meV per atom.


Entry 5:
## InFe2BH (SCAN)

Data for a PBEsol-optimized structure of InFe2BH.

Unit cell a=3.915 b=3.915 c=3.488 alpha=90.00 beta=90.00 gamma=90.00
Space group P4/mmm (No. 123)
Symmetry-distinct sites (fractional):
1 In 0.000 0.000 0.000 x1
2 Fe 0.000 0.500 0.500 x2
3 B 0.500 0.500 0.500 x1
4 H 0.500 0.500 0.000 x1

As for the total energy: -15.458 eV/atom. The calculation puts the density of states at the Fermi level at 0.579 states/eV per atom.


Entry 6:
## Cr2AgRh (SCAN)

Data for a PBEsol-optimized structure of Cr2AgRh.

Unit cell a=3.974 b=2.640 c=10.034 alpha=90.00 beta=90.00 gamma=90.00
Space group Amm2 (No. 38)
Symmetry-distinct sites (fractional):
1 Cr 0.000 0.000 0.000 x2
2 Cr 0.500 0.000 0.115 x2
3 Ag 0.000 0.000 0.741 x2
4 Rh 0.500 0.000 0.395 x2

Its energy relative to the elements is 386 meV/atom. The calculation puts the density of states at the Fermi level at 0.739 states/eV per atom.


Here are the calculated calculated density numbers, same order: 5.3 4.3 4.4 5.3 7.4 9.9 (g/cm³).